No. 1
CsCuRh3 | Alexandria via LeMat-Bulk | PBE-GGA | optimized geometry; total moment = 0.0 μB per cell; DFT formation energy = 2.23 eV per atom
1.0
4.9195 0.0000 0.0000
0.0000 4.9195 0.0000
0.0000 0.0000 4.9195
Cs Cu Rh
1 1 3
Cartesian
0.0000 0.0000 0.0000
2.4597 2.4597 2.4597
0.0000 0.0000 2.4597
0.0000 2.4597 0.0000
2.4597 0.0000 0.0000

=====

No. 2
CsCuSb2Rh | Alexandria via LeMat-Bulk | PBE-GGA | optimized geometry; formation energy (no corrections) = 0.814 eV/atom; total moment = 0.0 μB per cell
1.0
5.0562 0.0000 0.0000
0.0000 5.0562 0.0000
0.0000 0.0000 5.6929
Cs Cu Sb Rh
1 1 2 1
Cartesian
0.0000 0.0000 0.0000
0.0000 0.0000 2.8465
0.0000 2.5281 2.8465
2.5281 0.0000 2.8465
2.5281 2.5281 0.0000

=====

No. 3
Cs2Cu2RhSe4 | Alexandria via LeMat-Bulk | PBE-GGA | optimized geometry; formation energy (no corrections) = -0.566 eV/atom; total moment = 0.0 μB per cell
1.0
7.5461 -2.0084 0.0000
7.5461 2.0084 0.0000
-2.6076 0.0000 7.6316
Cs Cu Rh Se
2 2 1 4
Cartesian
1.8401 0.0000 0.4828
10.6444 0.0000 7.1488
3.2637 0.0000 3.8839
9.2208 0.0000 3.7477
-1.3038 0.0000 3.8158
0.9798 0.0000 4.9606
5.4009 0.0000 5.2122
7.0836 0.0000 2.4194
11.5047 0.0000 2.6710